15
Lattice="-5.3924 -1.9511 2.4854 2.8380 -3.4257 -4.3901 3.8941 -3.7893 5.4741" Properties=species:S:1:pos:R:3 comment="Cs3Mn2AgF9 | Alexandria | PBE with a Hubbard U | relaxed" total_energy_ev_per_atom=-4.959 volume_a3_per_atom=17.39 sg="P-3m1 (164)" pbc="T T T"
Mn 0.7013 -3.5246 -1.2453
F -1.2772 -2.6884 -0.9524
F -1.2410 -4.8243 5.0286
Cs 0.0000 0.0000 0.0000
F 1.4190 -1.7128 -2.1951
F 0.0771 -6.4154 2.9896
Mn 0.6383 -5.6414 4.8147
F -2.6962 -0.9755 1.2427
F 0.0760 -5.2479 -0.3048
Cs 2.6450 -5.4160 1.4871
F 2.5806 -4.3417 -1.4591
Ag 1.9470 -1.8946 2.7371
F 1.2625 -2.7506 0.5799
F 1.2636 -3.9181 3.8742
Cs -1.3054 -3.7500 2.0823